Entry from the Alexandria database: crystalline SrCr2Ir at its relaxed geometry (PBE).

Unit cell a=9.5160 b=3.0364 c=5.5592 alpha=90.00 beta=101.42 gamma=90.00
Space group C2/m (No. 12)
Symmetry-distinct sites (fractional):
Sr  0.0000  0.0000  0.0000
Cr  0.2181  0.0000  0.6135
Ir  0.0000  0.5000  0.5000

Crystal system: monoclinic
Uncorrected energy, eV for the cell shown: -56.19

Entry from the Alexandria database: crystalline NaMgGaSn2 at its relaxed geometry (PBE).

Unit cell a=4.7086 b=4.7086 c=12.3389 alpha=90.00 beta=90.00 gamma=90.00
Space group I-4m2 (No. 119)
Symmetry-distinct sites (fractional):
Na  0.0000  0.0000  0.0000
Mg  0.0000  0.5000  0.2500
Ga  0.0000  0.5000  0.7500
Sn  0.0000  0.0000  0.3846

Crystal system: tetragonal
Uncorrected energy, eV for the cell shown: -28.95

Entry from the Alexandria database: crystalline CeAgHg at its relaxed geometry (PBE).

Unit cell a=3.8617 b=3.8617 c=9.9914 alpha=90.00 beta=90.00 gamma=90.00
Space group I4mm (No. 107)
Symmetry-distinct sites (fractional):
Ce  0.0000  0.0000  0.0000
Ag  0.0000  0.0000  0.3256
Hg  0.0000  0.0000  0.6771

Crystal system: tetragonal
Uncorrected energy, eV for the cell shown: -19.24

Entry from the Alexandria database: crystalline TlSb2As2 at its relaxed geometry (PBE).

Unit cell a=8.7566 b=8.7566 c=3.8004 alpha=90.00 beta=90.00 gamma=90.00
Space group P4/mbm (No. 127)
Symmetry-distinct sites (fractional):
Tl  0.0000  0.0000  0.0000
Sb  0.1672  0.3328  0.0000
As  0.1824  0.6824  0.5000

Crystal system: tetragonal
Formation energy (no corrections), eV/atom: 0.191
Uncorrected energy, eV for the cell shown: -37.91

Entry from the Alexandria database: crystalline NaLa3Pd8 at its relaxed geometry (PBE).

Unit cell a=5.5275 b=5.5275 c=9.0790 alpha=90.00 beta=90.00 gamma=120.00
Space group P3m1 (No. 156)
Symmetry-distinct sites (fractional):
Na  0.0000  0.0000  0.0000
La  0.0000  0.0000  0.3576
La  0.6667  0.3333  0.5267
La  0.6667  0.3333  0.9098
Pd  0.1647  0.3295  0.7012
Pd  0.3333  0.6667  0.4537
Pd  0.3333  0.6667  0.9521
Pd  0.5012  0.0025  0.2041

Crystal system: trigonal
Uncorrected energy, eV for the cell shown: -65.91

Entry from the Alexandria database: crystalline TlPd7Se2 at its relaxed geometry (PBE).

Unit cell a=4.1389 b=4.1389 c=20.5612 alpha=90.00 beta=90.00 gamma=90.00
Space group I4/mmm (No. 139)
Symmetry-distinct sites (fractional):
Tl  0.0000  0.0000  0.0000
Pd  0.0000  0.0000  0.5000
Pd  0.0000  0.5000  0.0996
Pd  0.0000  0.5000  0.2500
Se  0.0000  0.0000  0.3274

Crystal system: tetragonal
Formation energy (no corrections), eV/atom: -0.181
Uncorrected energy, eV for the cell shown: -95.00